MnWBr4 | PBE-GGA | relaxed

Cell lengths 8.8104, 8.8104, 8.8104 Å; angles 90.00, 90.00, 90.00 degrees
With the nearest neighbours (Å) after each atom.
Space group F-43m (No. 216)
Unique sites:
Mn: 0.0000 0.0000 0.0000  12 Br 3.65, 4 W 3.82
W: 0.2500 0.2500 0.7500  12 Br 3.65, 4 Mn 3.82
Br: 0.1248 0.1248 0.3752  6 Br 3.11-3.12

Calculated values
Energy relative to the elements, uncorrected, meV per atom: 1651
Crystal system: cubic
E, eV per cell: -75.6
Density, g/cm³: 5.42